[1]
FeCo2 | GGA-PBE | optimized geometry

Cell lengths 5.474, 5.474, 5.474 Å; angles 90.00, 90.00, 90.00 degrees
Site moments in Bohr magnetons follow the coordinates.
Positions (direct):
1 Co 0.377 0.377 0.377  1.76
2 Fe 0.500 0.500 0.000  2.54
3 Co 0.377 0.123 0.877  1.76
4 Fe 0.500 0.000 0.500  2.54
5 Co 0.623 0.623 0.623  1.76
6 Co 0.123 0.877 0.377  1.76
7 Co 0.877 0.123 0.623  1.76
8 Fe 0.000 0.000 0.000  2.54
9 Co 0.123 0.623 0.877  1.76
10 Co 0.877 0.377 0.123  1.76
11 Co 0.623 0.877 0.123  1.76
12 Fe 0.000 0.500 0.500  2.54

Properties
Energy of formation from the pure elements ... 0.88 eV per atom

=====

[2]
Np4Te2AsS | GGA-PBE | optimized geometry

Cell lengths 4.198, 7.231, 7.367 Å; angles 109.32, 90.00, 90.00 degrees
Site moments in Bohr magnetons follow the coordinates.
Positions (direct):
1 As 0.000 0.000 0.000  -0.10
2 Te 0.500 0.000 0.500  -0.09
3 Np 0.000 0.268 0.785  4.11
4 S 0.500 0.500 0.000  -0.11
5 Np 0.000 0.732 0.215  4.11
6 Np 0.500 0.246 0.220  4.03
7 Te 0.000 0.500 0.500  -0.09
8 Np 0.500 0.754 0.780  4.03

=====

Q: Which size of the total moment values were calculated for the entries above? A: 2.013; 2.190, in μB/atom.
Q: Which uncorrected energy values were calculated for the entries above? A: -6.677; -9.142, in eV/atom.
Q: Which DOS(E_F) values were calculated for the entries above? A: 1.26; 4.46, in states/eV/atom.